Entry 1:
DFT (PBE) results for a relaxed LiNpFeRh crystal.

a b c (Å): 4.445 4.445 4.445
angles (deg): 60.00 60.00 60.00
Element x y z (fractional)
Fe1 0.500 0.500 0.500
Np1 0.250 0.250 0.250
Rh1 0.000 0.000 0.000
Li1 0.750 0.750 0.750

Energy of formation from the pure elements: 0.00 eV/atom
Volume: 62 Å³/cell


Entry 2:
DFT (PBE) results for a relaxed Li3Np3FeSe8 crystal.

a b c (Å): 8.020 7.977 7.936
angles (deg): 119.76 90.04 120.13
Element x y z (fractional)
Se1 0.238 0.004 0.740
Se2 0.762 0.996 0.260
Se3 0.245 0.490 0.237
Se4 0.237 0.473 0.739
Se5 0.755 0.510 0.763
Se6 0.763 0.527 0.261
Se7 0.766 0.004 0.740
Se8 0.234 0.996 0.260
Fe1 0.000 0.000 0.500
Np1 0.500 0.000 0.500
Np2 0.500 0.500 0.500
Np3 0.000 0.500 0.500
Li1 0.500 0.500 0.000
Li2 0.000 0.000 0.000
Li3 0.000 0.500 0.000

Formation energy from raw total energies: -0.970 eV/atom
Volume: 359 Å³/cell


Number 1: raw total energy -7.666 eV per atom, D(E_F) 6.37 states/eV per cell. Number 2: raw total energy -6.363 eV per atom, D(E_F) 27.40 states/eV per cell.